# K2UCrO6 PBE+U relaxed
data_K2UCrO6
_chemical_formula_sum 'K4 U2 Cr2 O12'
_symmetry_space_group_name_H-M 'P 1'
_symmetry_Int_Tables_number 1
_symmetry_space_group_name_Hall 'P 1'
_cell_length_a 5.754
_cell_length_b 5.778
_cell_length_c 8.149
_cell_angle_alpha 90.00
_cell_angle_beta 90.00
_cell_angle_gamma 90.00
loop_
_atom_site_label
_atom_site_type_symbol
_atom_site_fract_x
_atom_site_fract_y
_atom_site_fract_z
K1 K 0.500 0.750 0.251
K2 K 0.000 0.250 0.751
K3 K 0.500 0.750 0.749
K4 K 0.000 0.250 0.249
U1 U 0.500 0.250 0.500
U2 U 0.000 0.750 0.000
Cr1 Cr 0.000 0.750 0.500
Cr2 Cr 0.500 0.250 0.000
O1 O 0.500 0.250 0.232
O2 O 0.500 0.250 0.768
O3 O 0.000 0.750 0.268
O4 O 0.000 0.750 0.732
O5 O 0.248 0.998 0.500
O6 O 0.752 0.998 0.500
O7 O 0.248 0.502 0.500
O8 O 0.752 0.502 0.500
O9 O 0.748 0.498 0.000
O10 O 0.252 0.498 0.000
O11 O 0.252 0.002 0.000
O12 O 0.748 0.002 0.000
# DFT total energy = -7.361 eV/atom
# SG = No. 71
# calculated volume = 270.9 Å³/cell